DFT (PBE with a Hubbard U) results for an optimized crystal structure of B2WSeF.

Structure (POSCAR):
```
B2WSeF
1.0
-1.633 -3.611 -0.907
3.953 -1.874 0.340
-0.667 -0.690 3.951
Se B W F
1 2 1 1
Direct
0.000 0.000 0.000
0.000 0.000 0.500
0.500 0.000 0.000
0.500 0.500 0.500
0.000 0.500 0.000
```

Results
M_tot, μB per cell: 2.928
Crystal system: tetragonal
Density of states at the Fermi level, states/eV per atom: 0.395
Raw total energy, eV per cell: -18.9